Density functional theory data (PBE) for RbPmCd after structural relaxation.

```
RbPmCd
1.0
18.543 0.000 0.000
0.000 1.927 3.333
0.000 -1.927 3.333
Rb Pm Cd
2 2 2
Direct
0.166 0.000 0.000 Rb
0.834 0.000 0.000 Rb
0.370 0.333 0.333 Pm
0.630 0.333 0.333 Pm
0.000 0.335 0.335 Cd
0.500 0.999 0.999 Cd
```

The calculation puts the energy of formation from the pure elements at 19.7 kJ per mole of atoms. For the total energy, the calculation gives -2.006 eV per atom. As for the volume: 238.2 Å³ per cell.


Density functional theory data (PBE) for Pm3Nd4Er after structural relaxation.

```
Pm3Nd4Er
1.0
11.888 -1.759 0.000
11.888 1.759 0.000
-2.014 0.000 6.635
Pm Nd Er
3 4 1
Direct
0.000 0.000 0.000 Pm
0.123 0.123 0.383 Pm
0.877 0.877 0.617 Pm
0.123 0.123 0.863 Nd
0.259 0.259 0.260 Nd
0.741 0.741 0.740 Nd
0.877 0.877 0.137 Nd
0.500 0.500 0.500 Er
```

For the energy relative to the lowest polymorph listed for this composition, the calculation gives 120 meV per atom. The calculation puts the energy of formation from the pure elements at 14.5 kJ per mole of atoms. For the total energy, the calculation gives -4.585 eV per atom. As for the volume: 277.5 Å³ per cell.


Density functional theory data (PBE) for LiMgHPt2 after structural relaxation.

```
LiMgHPt2
1.0
3.994 0.000 0.000
0.000 3.994 0.000
0.000 0.000 3.965
Li Mg H Pt
1 1 1 2
Direct
0.000 0.000 0.000 Li
0.500 0.500 0.000 Mg
0.500 0.500 0.500 H
0.000 0.500 0.500 Pt
0.500 0.000 0.500 Pt
```

For the energy relative to the lowest polymorph listed for this composition, the calculation gives 119 meV per atom. For the total energy, the calculation gives -4.292 eV per atom. As for the volume: 63.2 Å³ per cell.


Copy entry 2 word for word.
Density functional theory data (PBE) for Pm3Nd4Er after structural relaxation.

```
Pm3Nd4Er
1.0
11.888 -1.759 0.000
11.888 1.759 0.000
-2.014 0.000 6.635
Pm Nd Er
3 4 1
Direct
0.000 0.000 0.000 Pm
0.123 0.123 0.383 Pm
0.877 0.877 0.617 Pm
0.123 0.123 0.863 Nd
0.259 0.259 0.260 Nd
0.741 0.741 0.740 Nd
0.877 0.877 0.137 Nd
0.500 0.500 0.500 Er
```

For the energy relative to the lowest polymorph listed for this composition, the calculation gives 120 meV per atom. The calculation puts the energy of formation from the pure elements at 14.5 kJ per mole of atoms. For the total energy, the calculation gives -4.585 eV per atom. As for the volume: 277.5 Å³ per cell.


Which value of volume does entry 2 give?
277.5 Å³ per cell


volume of number 3 (LiMgHPt2)?
63.2 Å³ per cell